[1]
Below is a relaxed Pm3Ga9Ir2 crystal, with properties calculated at the PBE-GGA level.

The mass density comes out at 9.2 Mg/m³. Its density of states at the Fermi level is 3.8 states/eV/f.u. The total energy is -4.85 eV/atom.

The space group is Immm (No. 71) and the conventional cell measures 4.3106, 9.5910 and 12.6680 Å, with angles of 90.00, 90.00 and 90.00 degrees. Symmetry generates all atoms from Pm at (0.0000, 0.0000, 0.0000), Pm at (0.0000, 0.0000, 0.2991), Ga at (0.0000, 0.2814, 0.1322), Ga at (0.0000, 0.3626, 0.3445), Ga at (0.0000, 0.5000, 0.0000) and Ir at (0.0000, 0.1826, 0.5000).


[2]
Below is a relaxed Pm4Ga12Ir crystal, with properties calculated at the PBE-GGA level.

The mass density comes out at 8.0 Mg/m³. Its density of states at the Fermi level is 9.1 states/eV/f.u. The total energy is -4.40 eV/atom.

The space group is Im-3m (No. 229) and the conventional cell measures 8.7394, 8.7394 and 8.7394 Å, with angles of 90.00, 90.00 and 90.00 degrees. Symmetry generates all atoms from Pm at (0.2500, 0.2500, 0.2500), Ga at (0.0000, 0.0000, 0.2920), Ga at (0.0000, 0.2500, 0.5000) and Ir at (0.0000, 0.0000, 0.0000).


[3]
Below is a relaxed Pm4GaIr4 crystal, with properties calculated at the PBE-GGA level.

The mass density comes out at 11.1 Mg/m³. Its density of states at the Fermi level is 5.6 states/eV/f.u. The total energy is -6.98 eV/atom.

The space group is P4_2/n (No. 86, origin choice 2) and the conventional cell measures 8.6096, 8.6096 and 5.7275 Å, with angles of 90.00, 90.00 and 90.00 degrees. Symmetry generates all atoms from Pm at (0.0464, 0.8169, 0.1067), Ga at (0.2500, 0.2500, 0.2500) and Ir at (0.0065, 0.1358, 0.3965).


[4]
Below is a relaxed Pm2Ga5Ir crystal, with properties calculated at the PBE-GGA level.

The mass density comes out at 8.1 Mg/m³. Its density of states at the Fermi level is 3.7 states/eV/f.u. The total energy is -4.71 eV/atom.

The space group is I4mm (No. 107) and the conventional cell measures 6.1529, 6.1529 and 8.9868 Å, with angles of 90.00, 90.00 and 90.00 degrees. Symmetry generates all atoms from Pm at (0.0000, 0.5000, 0.0000), Ga at (0.0000, 0.0000, 0.0264), Ga at (0.2140, 0.2140, 0.2482) and Ir at (0.0000, 0.0000, 0.7549).


[5]
Below is a relaxed PmGaIr crystal, with properties calculated at the PBE-GGA level.

The mass density comes out at 9.7 Mg/m³. Its density of states at the Fermi level is 1.1 states/eV/f.u. The energy above the most stable polymorph in this dataset is 258.8 meV/atom.

The space group is F-43m (No. 216) and the conventional cell measures 6.5317, 6.5317 and 6.5317 Å, with angles of 90.00, 90.00 and 90.00 degrees. Symmetry generates all atoms from Pm at (0.0000, 0.0000, 0.0000), Ga at (0.0000, 0.0000, 0.5000) and Ir at (0.2500, 0.2500, 0.2500).


[6]
Below is a relaxed Pm3Ga2Ir crystal, with properties calculated at the PBE-GGA level.

The mass density comes out at 8.4 Mg/m³. Its density of states at the Fermi level is 5.6 states/eV/f.u. The total energy is -5.50 eV/atom.

The space group is Pnma (No. 62) and the conventional cell measures 12.2550, 4.4497 and 11.0941 Å, with angles of 90.00, 90.00 and 90.00 degrees. Symmetry generates all atoms from Pm at (0.0514, 0.2500, 0.1176), Pm at (0.1150, 0.7500, 0.5575), Pm at (0.2322, 0.2500, 0.7964), Ga at (0.0121, 0.7500, 0.2982), Ga at (0.1995, 0.7500, 0.9999) and Ir at (0.1193, 0.2500, 0.3713).


[7]
Below is a relaxed Pm2Ga3Ir crystal, with properties calculated at the PBE-GGA level.

The mass density comes out at 9.1 Mg/m³. Its density of states at the Fermi level is 3.6 states/eV/f.u. The energy above the most stable polymorph in this dataset is 0.0 meV/atom.

The space group is Cm (No. 8) and the conventional cell measures 10.6237, 4.3795 and 7.2673 Å, with angles of 90.00, 131.44 and 90.00 degrees. Symmetry generates all atoms from Pm at (0.0000, 0.0000, 0.0000), Pm at (0.1005, 0.0000, 0.6090), Ga at (0.2047, 0.5000, 0.0052), Ga at (0.2223, 0.5000, 0.4141), Ga at (0.3804, 0.0000, 0.2168) and Ir at (0.3904, 0.0000, 0.6094).


[8]
Below is a relaxed Pm6GaIr3 crystal, with properties calculated at the PBE-GGA level.

The mass density comes out at 9.3 Mg/m³. Its density of states at the Fermi level is 6.9 states/eV/f.u. The total energy is -6.37 eV/atom.

The space group is P2_1/m (No. 11) and the conventional cell measures 10.6434, 4.4988 and 12.1918 Å, with angles of 90.00, 111.25 and 90.00 degrees. Symmetry generates all atoms from Pm at (0.0275, 0.2500, 0.3919), Pm at (0.0876, 0.2500, 0.9272), Pm at (0.2381, 0.7500, 0.3110), Pm at (0.3367, 0.7500, 0.8005), Pm at (0.3689, 0.7500, 0.0991), Pm at (0.3839, 0.2500, 0.5677), Ga at (0.4200, 0.2500, 0.2931), Ir at (0.0979, 0.2500, 0.1742), Ir at (0.1955, 0.7500, 0.5276) and Ir at (0.3884, 0.2500, 0.9573).


[9]
Below is a relaxed Pm2Ga6Ir9 crystal, with properties calculated at the PBE-GGA level.

The mass density comes out at 12.8 Mg/m³. Its density of states at the Fermi level is 8.4 states/eV/f.u. The total energy is -6.71 eV/atom.

The space group is P6/mmm (No. 191) and the conventional cell measures 5.5525, 5.5525 and 11.8747 Å, with angles of 90.00, 90.00 and 120.00 degrees. Symmetry generates all atoms from Pm at (0.0000, 0.0000, 0.1984), Ga at (0.3333, 0.6667, 0.1649), Ga at (0.3333, 0.6667, 0.5000), Ir at (0.0000, 0.5000, 0.0000) and Ir at (0.0000, 0.5000, 0.3310).


[10]
Below is a relaxed PmGa12Ir7 crystal, with properties calculated at the PBE-GGA level.

The mass density comes out at 9.9 Mg/m³. Its density of states at the Fermi level is 11.0 states/eV/f.u. The total energy is -5.24 eV/atom.

The space group is Im-3 (No. 204) and the conventional cell measures 9.2053, 9.2053 and 9.2053 Å, with angles of 90.00, 90.00 and 90.00 degrees. Symmetry generates all atoms from Pm at (0.0000, 0.0000, 0.0000), Ga at (0.0000, 0.3363, 0.2201), Ir at (0.0000, 0.0000, 0.5000) and Ir at (0.2500, 0.2500, 0.2500).


[11]
Below is a relaxed PmPrGa2Ir2 crystal, with properties calculated at the PBE-GGA level.

The mass density comes out at 10.4 Mg/m³. Its density of states at the Fermi level is 3.9 states/eV/f.u. The total energy is -6.28 eV/atom.

The space group is P-3m1 (No. 164) and the conventional cell measures 4.3882, 4.3882 and 7.7303 Å, with angles of 90.00, 90.00 and 120.00 degrees. Symmetry generates all atoms from Pm at (0.0000, 0.0000, 0.0000), Pr at (0.0000, 0.0000, 0.5000), Ga at (0.3333, 0.6667, 0.7565) and Ir at (0.3333, 0.6667, 0.2437).


[12]
Below is a relaxed PmGa4Ir2Pt crystal, with properties calculated at the PBE-GGA level.

The mass density comes out at 11.9 Mg/m³. Its density of states at the Fermi level is 4.1 states/eV/f.u. The total energy is -5.64 eV/atom.

The space group is R-3m (No. 166, hexagonal axes) and the conventional cell measures 4.2931, 4.2931 and 26.2348 Å, with angles of 90.00, 90.00 and 120.00 degrees. Symmetry generates all atoms from Pm at (0.0000, 0.0000, 0.0000), Ga at (0.0000, 0.0000, 0.1287), Ga at (0.0000, 0.0000, 0.3988), Ir at (0.0000, 0.0000, 0.2325) and Pt at (0.0000, 0.0000, 0.5000).


What is the formula in the sixth record? Pm3Ga2Ir


What is the density of states at the Fermi level in the first record? 3.8 states/eV/f.u.


The highest mass density belongs to which entry? Pm2Ga6Ir9


The lowest mass density belongs to which entry? Pm4Ga12Ir